Entry 1:
DFT (GGA-PBE) results for an optimized crystal structure of TmSnPO. Values from VASP.

Magnetic moment: 0.00 μB per formula unit
E: -6.0155 eV/atom
Offset from the most stable computed form: 179.4 meV per atom

```
&SYSTEM
  ibrav = 0, nat = 8, ntyp = 4
/
ATOMIC_SPECIES
P 30.97 P.upf
Sn 118.71 Sn.upf
O 16.00 O.upf
Tm 168.93 Tm.upf
CELL_PARAMETERS angstrom
-3.2539 -1.5122 2.5568
4.3900 -1.6686 4.5999
-0.5743 5.5918 2.5765
ATOMIC_POSITIONS crystal
P 0.5000 0.7066 0.8500
P 0.5000 0.2934 0.3500
Sn 0.5000 0.2986 0.9306
Sn 0.5000 0.7014 0.4306
O 0.0000 0.1375 0.9122
O 0.0000 0.8625 0.4122
Tm 0.0000 0.8537 0.0613
Tm 0.0000 0.1463 0.5613
```

=====

Entry 2:
DFT (GGA-PBE) results for an optimized crystal structure of ZrSnPO5. Values from VASP.

Magnetic moment: 0.00 μB per formula unit
E: -7.5959 eV/atom

```
&SYSTEM
  ibrav = 0, nat = 16, ntyp = 4
/
ATOMIC_SPECIES
Sn 118.71 Sn.upf
P 30.97 P.upf
O 16.00 O.upf
Zr 91.22 Zr.upf
CELL_PARAMETERS angstrom
-4.7618 -2.4244 -0.8355
1.8519 -3.7118 5.1416
-1.1592 6.9841 2.1704
ATOMIC_POSITIONS crystal
Sn 0.4634 0.2226 0.5075
Sn 0.5366 0.7774 0.4925
P 0.8641 0.7972 0.1143
P 0.1359 0.2028 0.8857
O 0.5840 0.7673 0.9492
O 0.4160 0.2327 0.0508
O 0.9666 0.0457 0.2778
O 0.0663 0.7495 0.0109
O 0.2310 0.4778 0.4750
O 0.0334 0.9543 0.7222
O 0.8477 0.6488 0.2316
O 0.7690 0.5222 0.5250
O 0.1523 0.3512 0.7684
O 0.9337 0.2505 0.9891
Zr 0.1745 0.6693 0.7542
Zr 0.8255 0.3307 0.2458
```

=====

Entry 3:
DFT (GGA-PBE) results for an optimized crystal structure of SrTaPO. Values from VASP.

Magnetic moment: 0.00 μB per formula unit
E: -7.2352 eV/atom
Offset from the most stable computed form: 103.8 meV per atom

```
&SYSTEM
  ibrav = 0, nat = 8, ntyp = 4
/
ATOMIC_SPECIES
Sr 87.62 Sr.upf
O 16.00 O.upf
Ta 180.95 Ta.upf
P 30.97 P.upf
CELL_PARAMETERS angstrom
-1.0993 3.1061 -2.5999
-0.2371 -2.7386 -3.1716
-9.1242 -1.5431 2.0144
ATOMIC_POSITIONS crystal
Sr 0.2500 0.2500 0.1164
Sr 0.7500 0.7500 0.8836
O 0.7500 0.2500 0.0000
O 0.2500 0.7500 0.0000
Ta 0.7500 0.2500 0.5000
Ta 0.2500 0.7500 0.5000
P 0.2500 0.2500 0.6458
P 0.7500 0.7500 0.3542
```

=====

Entry 4:
DFT (GGA-PBE) results for an optimized crystal structure of SrTaPO. Values from VASP.

Magnetic moment: 0.02 μB per formula unit
E: -6.5374 eV/atom
Offset from the most stable computed form: 801.6 meV per atom

```
&SYSTEM
  ibrav = 0, nat = 8, ntyp = 4
/
ATOMIC_SPECIES
P 30.97 P.upf
Ta 180.95 Ta.upf
Sr 87.62 Sr.upf
O 16.00 O.upf
CELL_PARAMETERS angstrom
-3.7493 -1.6098 -0.9742
1.8606 -2.8476 -2.4550
0.5306 -4.9616 6.1572
ATOMIC_POSITIONS crystal
P 0.5000 0.0000 0.2429
P 0.0000 0.5000 0.7571
Ta 0.0000 0.5000 0.0830
Ta 0.5000 0.0000 0.9170
Sr 0.0000 0.0000 0.5000
Sr 0.5000 0.5000 0.5000
O 0.5000 0.5000 0.0000
O 0.0000 0.0000 0.0000
```

=====

Entry 5:
DFT (GGA-PBE) results for an optimized crystal structure of SrTaPO. Values from VASP.

Magnetic moment: 0.00 μB per formula unit
E: -7.3390 eV/atom
Offset from the most stable computed form: 0.0 meV per atom

```
&SYSTEM
  ibrav = 0, nat = 8, ntyp = 4
/
ATOMIC_SPECIES
O 16.00 O.upf
P 30.97 P.upf
Sr 87.62 Sr.upf
Ta 180.95 Ta.upf
CELL_PARAMETERS angstrom
3.9069 0.0000 0.0000
0.0000 6.3695 0.0000
0.0000 0.0000 6.6198
ATOMIC_POSITIONS crystal
O 0.0000 0.3389 0.4766
O 0.0000 0.6611 0.9766
P 0.5000 0.9817 0.2587
P 0.5000 0.0183 0.7587
Sr 0.0000 0.7340 0.5271
Sr 0.0000 0.2660 0.0271
Ta 0.5000 0.7326 0.9916
Ta 0.5000 0.2674 0.4916
```

=====

Entry 6:
DFT (GGA-PBE) results for an optimized crystal structure of SrTcP2O8. Values from VASP.

Magnetic moment: 3.00 μB per formula unit
E: -7.4457 eV/atom

```
&SYSTEM
  ibrav = 0, nat = 12, ntyp = 4
/
ATOMIC_SPECIES
P 30.97 P.upf
O 16.00 O.upf
Tc 98.00 Tc.upf
Sr 87.62 Sr.upf
CELL_PARAMETERS angstrom
-0.4911 3.4760 -3.3183
-1.9292 -1.5008 -4.1666
-6.6367 1.4252 2.8898
ATOMIC_POSITIONS crystal
P 0.6343 0.6343 0.2787
P 0.3657 0.3657 0.7213
O 0.7603 0.7603 0.4412
O 0.6991 0.6991 0.0896
O 0.7192 0.2354 0.7015
O 0.7646 0.2808 0.2985
O 0.2808 0.7646 0.2985
O 0.2397 0.2397 0.5588
O 0.2354 0.7192 0.7015
O 0.3009 0.3009 0.9104
Tc 0.0000 0.0000 0.5000
Sr 0.0000 0.0000 0.0000
```

=====

Entry 7:
DFT (GGA-PBE) results for an optimized crystal structure of SrTcPO. Values from VASP.

Magnetic moment: 0.81 μB per formula unit
E: -6.8457 eV/atom
Offset from the most stable computed form: 0.0 meV per atom

```
&SYSTEM
  ibrav = 0, nat = 8, ntyp = 4
/
ATOMIC_SPECIES
Tc 98.00 Tc.upf
P 30.97 P.upf
Sr 87.62 Sr.upf
O 16.00 O.upf
CELL_PARAMETERS angstrom
4.2242 0.0000 0.0000
0.0000 4.2242 0.0000
0.0000 0.0000 8.7622
ATOMIC_POSITIONS crystal
Tc 0.5000 0.5000 0.5000
Tc 0.0000 0.0000 0.5000
P 0.5000 0.0000 0.3876
P 0.0000 0.5000 0.6124
Sr 0.5000 0.0000 0.8744
Sr 0.0000 0.5000 0.1256
O 0.0000 0.0000 0.0000
O 0.5000 0.5000 0.0000
```

=====

Entry 8:
DFT (GGA-PBE) results for an optimized crystal structure of SrTcPO. Values from VASP.

Magnetic moment: 2.48 μB per formula unit
E: -5.6462 eV/atom
Offset from the most stable computed form: 1199.5 meV per atom

```
&SYSTEM
  ibrav = 0, nat = 8, ntyp = 4
/
ATOMIC_SPECIES
P 30.97 P.upf
O 16.00 O.upf
Sr 87.62 Sr.upf
Tc 98.00 Tc.upf
CELL_PARAMETERS angstrom
3.0839 -3.0839 0.0000
3.0839 3.0839 0.0000
0.0000 0.0000 8.9467
ATOMIC_POSITIONS crystal
P 0.2500 0.2500 0.7158
P 0.7500 0.7500 0.2842
O 0.2500 0.7500 0.0000
O 0.7500 0.2500 0.0000
Sr 0.2500 0.7500 0.5000
Sr 0.7500 0.2500 0.5000
Tc 0.2500 0.2500 0.9669
Tc 0.7500 0.7500 0.0331
```

=====

Entry 9:
DFT (GGA-PBE) results for an optimized crystal structure of SrTcPO. Values from VASP.

Magnetic moment: 0.00 μB per formula unit
E: -6.6490 eV/atom
Offset from the most stable computed form: 196.8 meV per atom

```
&SYSTEM
  ibrav = 0, nat = 8, ntyp = 4
/
ATOMIC_SPECIES
Sr 87.62 Sr.upf
P 30.97 P.upf
O 16.00 O.upf
Tc 98.00 Tc.upf
CELL_PARAMETERS angstrom
3.9475 0.0000 0.0000
0.0000 5.6537 0.0000
0.0000 0.0000 6.8301
ATOMIC_POSITIONS crystal
Sr 0.0000 0.7655 0.0763
Sr 0.0000 0.2345 0.5763
P 0.5000 0.4199 0.2676
P 0.5000 0.5801 0.7676
O 0.0000 0.1671 0.9415
O 0.0000 0.8329 0.4415
Tc 0.5000 0.2662 0.9685
Tc 0.5000 0.7338 0.4685
```

=====

Entry 10:
DFT (GGA-PBE) results for an optimized crystal structure of Sr2Zn3Te2P2O14. Values from VASP.

E: -6.0707 eV/atom

```
&SYSTEM
  ibrav = 0, nat = 46, ntyp = 5
/
ATOMIC_SPECIES
Te 127.60 Te.upf
O 16.00 O.upf
Sr 87.62 Sr.upf
Zn 65.41 Zn.upf
P 30.97 P.upf
CELL_PARAMETERS angstrom
-1.1382 -5.0747 -0.5962
1.2902 -1.1813 7.5920
-14.6245 3.1184 2.9704
ATOMIC_POSITIONS crystal
Te 0.5077 0.7268 0.9884
Te 0.4923 0.2268 0.5116
Te 0.4923 0.2732 0.0116
Te 0.5077 0.7732 0.4884
O 0.2909 0.0420 0.4624
O 0.2474 0.7340 0.5731
O 0.7091 0.9580 0.5376
O 0.7526 0.2660 0.4269
O 0.8756 0.8935 0.8791
O 0.2048 0.3199 0.7775
O 0.2474 0.7660 0.0731
O 0.7526 0.2340 0.9269
O 0.8756 0.6065 0.3791
O 0.7065 0.6070 0.5549
O 0.2935 0.3930 0.4451
O 0.1678 0.0857 0.6701
O 0.7091 0.5420 0.0376
O 0.1244 0.1065 0.1209
O 0.7624 0.2404 0.2085
O 0.7952 0.6801 0.2225
O 0.1678 0.4143 0.1701
O 0.2935 0.1070 0.9451
O 0.8322 0.9143 0.3299
O 0.7952 0.8199 0.7225
O 0.2909 0.4580 0.9624
O 0.2376 0.7404 0.2915
O 0.1244 0.3935 0.6209
O 0.7624 0.2596 0.7085
O 0.2376 0.7596 0.7915
O 0.8322 0.5857 0.8299
O 0.2048 0.1801 0.2775
O 0.7065 0.8930 0.0549
Sr 0.4988 0.5533 0.7016
Sr 0.5012 0.4467 0.2984
Sr 0.4988 0.9467 0.2016
Sr 0.5012 0.0533 0.7984
Zn 0.0000 0.5000 0.5000
Zn 0.0107 0.3902 0.8849
Zn 0.0107 0.1098 0.3849
Zn 0.9893 0.8902 0.6151
Zn 0.0000 0.0000 0.0000
Zn 0.9893 0.6098 0.1151
P 0.0511 0.2639 0.6929
P 0.9489 0.7361 0.3071
P 0.9489 0.7639 0.8071
P 0.0511 0.2361 0.1929
```

=====

Entry 11:
DFT (GGA-PBE) results for an optimized crystal structure of SrZnP2O7. Values from VASP.

E: -6.7975 eV/atom

```
&SYSTEM
  ibrav = 0, nat = 44, ntyp = 4
/
ATOMIC_SPECIES
Zn 65.41 Zn.upf
P 30.97 P.upf
O 16.00 O.upf
Sr 87.62 Sr.upf
CELL_PARAMETERS angstrom
5.2986 0.0000 0.0000
0.0000 8.1661 0.0000
-5.2899 0.0000 12.6614
ATOMIC_POSITIONS crystal
Zn 0.2258 0.6502 0.3950
Zn 0.7742 0.1502 0.1050
Zn 0.2258 0.8498 0.8950
Zn 0.7742 0.3498 0.6050
P 0.1620 0.1994 0.9817
P 0.9142 0.5335 0.1631
P 0.8380 0.6994 0.5183
P 0.0858 0.0335 0.3369
P 0.9142 0.9665 0.6631
P 0.8380 0.8006 0.0183
P 0.1620 0.3006 0.4817
P 0.0858 0.4665 0.8369
O 0.8135 0.8899 0.5455
O 0.3831 0.3196 0.5929
O 0.1311 0.8325 0.0275
O 0.3831 0.1804 0.0929
O 0.1796 0.8787 0.7319
O 0.3143 0.0574 0.2976
O 0.3143 0.4426 0.7976
O 0.1865 0.1101 0.4545
O 0.0158 0.6447 0.8479
O 0.6169 0.6804 0.4071
O 0.1796 0.6213 0.2319
O 0.7726 0.5991 0.6008
O 0.8204 0.1213 0.2681
O 0.8204 0.3787 0.7681
O 0.8689 0.3325 0.4725
O 0.6857 0.9426 0.7024
O 0.0158 0.8553 0.3479
O 0.9842 0.1447 0.6521
O 0.9842 0.3553 0.1521
O 0.7726 0.9009 0.1008
O 0.8689 0.1675 0.9725
O 0.8135 0.6101 0.0455
O 0.1311 0.6675 0.5275
O 0.6857 0.5574 0.2024
O 0.6169 0.8196 0.9071
O 0.2274 0.0991 0.8992
O 0.1865 0.3899 0.9545
O 0.2274 0.4009 0.3992
Sr 0.4930 0.1604 0.7802
Sr 0.4930 0.3396 0.2802
Sr 0.5070 0.6604 0.7198
Sr 0.5070 0.8396 0.2198
```

=====

Entry 12:
DFT (GGA-PBE) results for an optimized crystal structure of SrZnPO. Values from VASP.

E: -4.4315 eV/atom

```
&SYSTEM
  ibrav = 0, nat = 8, ntyp = 4
/
ATOMIC_SPECIES
P 30.97 P.upf
Zn 65.41 Zn.upf
O 16.00 O.upf
Sr 87.62 Sr.upf
CELL_PARAMETERS angstrom
3.3149 0.0000 0.0000
0.0000 6.5787 0.0000
0.0000 0.0000 7.0667
ATOMIC_POSITIONS crystal
P 0.5000 0.5652 0.7767
P 0.5000 0.4348 0.2767
Zn 0.5000 0.7308 0.4807
Zn 0.5000 0.2692 0.9807
O 0.0000 0.1099 0.9164
O 0.0000 0.8901 0.4164
Sr 0.0000 0.2061 0.5802
Sr 0.0000 0.7939 0.0802
```

=====

Entry 13:
DFT (GGA-PBE) results for an optimized crystal structure of SrZrP2O8. Values from VASP.

Magnetic moment: 0.00 μB per formula unit
E: -7.8472 eV/atom

```
&SYSTEM
  ibrav = 0, nat = 24, ntyp = 4
/
ATOMIC_SPECIES
O 16.00 O.upf
Zr 91.22 Zr.upf
Sr 87.62 Sr.upf
P 30.97 P.upf
CELL_PARAMETERS angstrom
-6.6170 3.9069 -0.3599
-0.8797 -2.8558 -7.2496
-2.3990 -3.8611 2.3680
ATOMIC_POSITIONS crystal
O 0.5969 0.9246 0.1902
O 0.4202 0.5426 0.2623
O 0.1923 0.2312 0.5608
O 0.9209 0.0239 0.2270
O 0.0832 0.5364 0.3070
O 0.0791 0.9761 0.7730
O 0.7686 0.3336 0.0775
O 0.4031 0.0754 0.8098
O 0.2314 0.6664 0.9225
O 0.5798 0.4574 0.7377
O 0.2446 0.7978 0.4060
O 0.8274 0.7550 0.9499
O 0.9168 0.4636 0.6930
O 0.7554 0.2022 0.5940
O 0.1726 0.2450 0.0501
O 0.8077 0.7688 0.4392
Zr 0.0266 0.7231 0.6589
Zr 0.9734 0.2769 0.3411
Sr 0.5233 0.7716 0.6982
Sr 0.4767 0.2284 0.3018
P 0.7854 0.8737 0.1993
P 0.7451 0.3693 0.7878
P 0.2549 0.6307 0.2122
P 0.2146 0.1263 0.8007
```

=====

Entry 14:
DFT (GGA-PBE) results for an optimized crystal structure of TaPO5. Values from VASP.

Magnetic moment: 0.00 μB per formula unit
E: -8.6083 eV/atom
Offset from the most stable computed form: 0.0 meV per atom

```
&SYSTEM
  ibrav = 0, nat = 56, ntyp = 3
/
ATOMIC_SPECIES
O 16.00 O.upf
Ta 180.95 Ta.upf
P 30.97 P.upf
CELL_PARAMETERS angstrom
-9.3404 2.4959 -8.8695
-1.0195 -5.2247 -0.3966
-2.9819 -0.4056 13.0103
ATOMIC_POSITIONS crystal
O 0.5927 0.2497 0.4557
O 0.2117 0.7491 0.3623
O 0.2117 0.7509 0.8623
O 0.3788 0.9866 0.8708
O 0.4998 0.9993 0.2501
O 0.0807 0.2514 0.1222
O 0.6218 0.0127 0.6293
O 0.6218 0.4873 0.1293
O 0.4998 0.5007 0.7501
O 0.6212 0.0134 0.1292
O 0.6212 0.4866 0.6292
O 0.1328 0.4878 0.4929
O 0.5002 0.4993 0.2499
O 0.8670 0.5145 0.0082
O 0.0807 0.2486 0.6222
O 0.7883 0.2509 0.6377
O 0.3782 0.9873 0.3707
O 0.7883 0.2491 0.1377
O 0.8672 0.9878 0.0071
O 0.8672 0.5122 0.5071
O 0.4073 0.7503 0.5443
O 0.7132 0.7499 0.8388
O 0.8670 0.9855 0.5082
O 0.9193 0.7486 0.8778
O 0.5002 0.0007 0.7499
O 0.0000 0.5012 0.7494
O 0.0000 0.0012 0.7506
O 0.7132 0.7501 0.3388
O 0.3788 0.5134 0.3708
O 0.1330 0.4855 0.9918
O 0.2868 0.2501 0.1612
O 0.0000 0.4988 0.2506
O 0.4073 0.7497 0.0443
O 0.1328 0.0122 0.9929
O 0.2868 0.2499 0.6612
O 0.0000 0.9988 0.2494
O 0.5927 0.2503 0.9557
O 0.3782 0.5127 0.8707
O 0.9193 0.7514 0.3778
O 0.1330 0.0145 0.4918
Ta 0.5601 0.7501 0.6938
Ta 0.4399 0.2501 0.8062
Ta 0.0639 0.7500 0.3662
Ta 0.5601 0.7499 0.1938
Ta 0.9361 0.2500 0.1338
Ta 0.9361 0.2500 0.6338
Ta 0.0639 0.7500 0.8662
Ta 0.4399 0.2499 0.3062
P 0.6546 0.2500 0.5884
P 0.3454 0.7500 0.4116
P 0.8431 0.7502 0.9351
P 0.8431 0.7498 0.4351
P 0.6546 0.2500 0.0884
P 0.3454 0.7500 0.9116
P 0.1569 0.2498 0.0649
P 0.1569 0.2502 0.5649
```

=====

Entry 15:
DFT (GGA-PBE) results for an optimized crystal structure of TaPO5. Values from VASP.

Magnetic moment: 0.00 μB per formula unit
E: -8.5494 eV/atom
Offset from the most stable computed form: 58.9 meV per atom

```
&SYSTEM
  ibrav = 0, nat = 14, ntyp = 3
/
ATOMIC_SPECIES
O 16.00 O.upf
P 30.97 P.upf
Ta 180.95 Ta.upf
CELL_PARAMETERS angstrom
-0.1028 1.0774 4.9824
-1.4848 -4.6792 1.3774
6.9142 -0.0058 -2.6411
ATOMIC_POSITIONS crystal
O 0.8478 0.8970 0.3953
O 0.5705 0.5260 0.5375
O 0.0408 0.3863 0.2173
O 0.0906 0.5391 0.6271
O 0.3266 0.8826 0.3014
O 0.8970 0.8478 0.8953
O 0.5260 0.5705 0.0375
O 0.3863 0.0408 0.7173
O 0.5391 0.0906 0.1271
O 0.8826 0.3266 0.8014
P 0.5601 0.8596 0.2153
P 0.8596 0.5601 0.7153
Ta 0.7213 0.2138 0.9722
Ta 0.2138 0.7213 0.4722
```

=====

Entry 16:
DFT (GGA-PBE) results for an optimized crystal structure of TaTlPO. Values from VASP.

Magnetic moment: 0.00 μB per formula unit
E: -6.5208 eV/atom
Offset from the most stable computed form: 497.5 meV per atom

```
&SYSTEM
  ibrav = 0, nat = 8, ntyp = 4
/
ATOMIC_SPECIES
Tl 204.38 Tl.upf
O 16.00 O.upf
P 30.97 P.upf
Ta 180.95 Ta.upf
CELL_PARAMETERS angstrom
4.0252 0.0000 0.0000
0.0000 4.0252 0.0000
0.0000 0.0000 8.9577
ATOMIC_POSITIONS crystal
Tl 0.0000 0.5000 0.5000
Tl 0.5000 0.0000 0.5000
O 0.5000 0.0000 0.0000
O 0.0000 0.5000 0.0000
P 0.5000 0.5000 0.2117
P 0.0000 0.0000 0.7883
Ta 0.5000 0.5000 0.9165
Ta 0.0000 0.0000 0.0835
```

=====

Entry 17:
DFT (GGA-PBE) results for an optimized crystal structure of TaTlPO. Values from VASP.

Magnetic moment: 0.01 μB per formula unit
E: -7.0183 eV/atom
Offset from the most stable computed form: 0.0 meV per atom

```
&SYSTEM
  ibrav = 0, nat = 8, ntyp = 4
/
ATOMIC_SPECIES
Ta 180.95 Ta.upf
Tl 204.38 Tl.upf
P 30.97 P.upf
O 16.00 O.upf
CELL_PARAMETERS angstrom
-2.0368 0.9616 -2.5123
-4.8258 -5.0272 1.9882
-3.1208 4.7094 4.3327
ATOMIC_POSITIONS crystal
Ta 0.0000 0.5964 0.4954
Ta 0.0000 0.4036 0.9954
Tl 0.5000 0.2038 0.5424
Tl 0.5000 0.7962 0.0424
P 0.5000 0.8328 0.4593
P 0.5000 0.1672 0.9593
O 0.0000 0.4700 0.2569
O 0.0000 0.5300 0.7569
```